[1]
Computed, not measured: crystalline Tm3Mg2Cd8 at its relaxed geometry at the GGA-PBE level of DFT.

Summary:
Crystal system = trigonal
Calculated total energy = -1.861 eV/atom

The structure in CIF format:
```
data_Tm3Mg2Cd8
_symmetry_space_group_name_H-M 'R -3 m'
_symmetry_Int_Tables_number 166
_symmetry_space_group_name_Hall '-R 3 2"'
_cell_length_a 5.7913
_cell_length_b 5.7913
_cell_length_c 33.7479
_cell_angle_alpha 90.00
_cell_angle_beta 90.00
_cell_angle_gamma 120.00
loop_
_atom_site_label
_atom_site_fract_x
_atom_site_fract_y
_atom_site_fract_z
_atom_site_occupancy
Tm1 0.0000 0.0000 0.0000 1
Tm2 0.0000 0.0000 0.1854 1
Mg1 0.0000 0.0000 0.3627 1
Cd1 0.0000 0.0000 0.2807 1
Cd2 0.9996 0.4998 0.2300 1
```


[2]
Computed, not measured: crystalline TmMgCd at its relaxed geometry at the GGA-PBE level of DFT.

Summary:
Crystal system = monoclinic
Calculated total energy = -2.195 eV/atom

The structure in CIF format:
```
data_TmMgCd
_symmetry_space_group_name_H-M 'P 1 2/m 1'
_symmetry_Int_Tables_number 10
_cell_length_a 3.447
_cell_length_b 5.272
_cell_length_c 4.671
_cell_angle_alpha 90.00
_cell_angle_beta 90.96
_cell_angle_gamma 90.00
loop_
_symmetry_equiv_pos_as_xyz
'x,y,z'
'-x,-y,-z'
'-x,y,-z'
'x,-y,z'
loop_
_atom_site_label
_atom_site_fract_x
_atom_site_fract_y
_atom_site_fract_z
_atom_site_occupancy
Tm1 0.000 0.000 0.000 1
Mg1 0.000 0.500 0.500 1
Cd1 0.500 0.500 0.000 1
```


[3]
Computed, not measured: crystalline TmMg3Cd9 at its relaxed geometry at the GGA-PBE level of DFT.

Summary:
Crystal system = monoclinic
Calculated total energy = -1.454 eV/atom

The structure in CIF format:
```
data_TmMg3Cd9
_symmetry_space_group_name_H-M 'C 1 2/m 1'
_symmetry_Int_Tables_number 12
_cell_length_a 6.026
_cell_length_b 13.920
_cell_length_c 7.538
_cell_angle_alpha 90.00
_cell_angle_beta 113.21
_cell_angle_gamma 90.00
loop_
_symmetry_equiv_pos_as_xyz
'x,y,z'
'-x,-y,-z'
'-x,y,-z'
'x,-y,z'
'x+1/2,y+1/2,z'
'-x+1/2,-y+1/2,-z'
'-x+1/2,y+1/2,-z'
'x+1/2,-y+1/2,z'
loop_
_atom_site_label
_atom_site_fract_x
_atom_site_fract_y
_atom_site_fract_z
_atom_site_occupancy
Tm1 0.000 0.000 0.000 1
Mg1 0.000 0.000 0.500 1
Mg2 0.250 0.250 0.000 1
Cd1 0.000 0.500 0.500 1
Cd2 0.114 0.392 0.213 1
Cd3 0.168 0.173 0.343 1
```


[4]
Computed, not measured: crystalline TmMgCd5 at its relaxed geometry at the GGA-PBE level of DFT.

Summary:
Crystal system = tetragonal
Calculated total energy = -1.579 eV/atom

The structure in CIF format:
```
data_TmMgCd5
_symmetry_space_group_name_H-M 'P 4/m m m'
_symmetry_Int_Tables_number 123
_symmetry_space_group_name_Hall '-P 4 2'
_cell_length_a 4.450
_cell_length_b 4.450
_cell_length_c 8.839
_cell_angle_alpha 90.00
_cell_angle_beta 90.00
_cell_angle_gamma 90.00
loop_
_atom_site_label
_atom_site_fract_x
_atom_site_fract_y
_atom_site_fract_z
_atom_site_occupancy
Tm1 0.000 0.000 0.000 1
Mg1 0.500 0.500 0.500 1
Cd1 0.000 0.500 0.268 1
Cd2 0.500 0.500 0.000 1
```


[5]
Computed, not measured: crystalline Tm2Mg3Cd4 at its relaxed geometry at the GGA-PBE level of DFT.

Summary:
Crystal system = monoclinic
Calculated total energy = -2.140 eV/atom

The structure in CIF format:
```
data_Tm2Mg3Cd4
_symmetry_space_group_name_H-M 'C 1 2/m 1'
_symmetry_Int_Tables_number 12
_cell_length_a 8.731
_cell_length_b 5.049
_cell_length_c 9.475
_cell_angle_alpha 90.00
_cell_angle_beta 90.21
_cell_angle_gamma 90.00
loop_
_symmetry_equiv_pos_as_xyz
'x,y,z'
'-x,-y,-z'
'-x,y,-z'
'x,-y,z'
'x+1/2,y+1/2,z'
'-x+1/2,-y+1/2,-z'
'-x+1/2,y+1/2,-z'
'x+1/2,-y+1/2,z'
loop_
_atom_site_label
_atom_site_fract_x
_atom_site_fract_y
_atom_site_fract_z
_atom_site_occupancy
Tm1 0.166 0.000 0.286 1
Mg1 0.000 0.500 0.500 1
Mg2 0.167 0.000 0.931 1
Cd1 0.001 0.500 0.842 1
Cd2 0.167 0.000 0.607 1
```


[6]
Computed, not measured: crystalline Tm4MgCd7 at its relaxed geometry at the GGA-PBE level of DFT.

Summary:
Crystal system = monoclinic
Calculated total energy = -2.248 eV/atom

The structure in CIF format:
```
data_Tm4MgCd7
_symmetry_space_group_name_H-M 'C 1 2/m 1'
_symmetry_Int_Tables_number 12
_cell_length_a 12.076
_cell_length_b 5.334
_cell_length_c 11.179
_cell_angle_alpha 90.00
_cell_angle_beta 120.26
_cell_angle_gamma 90.00
loop_
_symmetry_equiv_pos_as_xyz
'x,y,z'
'-x,-y,-z'
'-x,y,-z'
'x,-y,z'
'x+1/2,y+1/2,z'
'-x+1/2,-y+1/2,-z'
'-x+1/2,y+1/2,-z'
'x+1/2,-y+1/2,z'
loop_
_atom_site_label
_atom_site_fract_x
_atom_site_fract_y
_atom_site_fract_z
_atom_site_occupancy
Tm1 0.088 0.000 0.276 1
Tm2 0.239 0.000 0.817 1
Mg1 0.000 0.500 0.500 1
Cd1 0.000 0.000 0.500 1
Cd2 0.073 0.500 0.838 1
Cd3 0.134 0.000 0.022 1
Cd4 0.202 0.500 0.421 1
```


[7]
Computed, not measured: crystalline TmMg11Cd at its relaxed geometry at the GGA-PBE level of DFT.

Summary:
Crystal system = monoclinic
Calculated total energy = -1.789 eV/atom

The structure in CIF format:
```
data_TmMg11Cd
_symmetry_space_group_name_H-M 'C 1 2/m 1'
_symmetry_Int_Tables_number 12
_cell_length_a 5.908
_cell_length_b 14.343
_cell_length_c 7.706
_cell_angle_alpha 90.00
_cell_angle_beta 111.55
_cell_angle_gamma 90.00
loop_
_symmetry_equiv_pos_as_xyz
'x,y,z'
'-x,-y,-z'
'-x,y,-z'
'x,-y,z'
'x+1/2,y+1/2,z'
'-x+1/2,-y+1/2,-z'
'-x+1/2,y+1/2,-z'
'x+1/2,-y+1/2,z'
loop_
_atom_site_label
_atom_site_fract_x
_atom_site_fract_y
_atom_site_fract_z
_atom_site_occupancy
Tm1 0.000 0.000 0.000 1
Mg1 0.000 0.000 0.500 1
Mg2 0.106 0.395 0.212 1
Mg3 0.174 0.174 0.351 1
Mg4 0.250 0.250 0.000 1
Cd1 0.000 0.500 0.500 1
```


[8]
Computed, not measured: crystalline Tm4Mg2Cd at its relaxed geometry at the GGA-PBE level of DFT.

Summary:
Crystal system = trigonal
Calculated total energy = -3.058 eV/atom

The structure in CIF format:
```
data_Tm4Mg2Cd
_symmetry_space_group_name_H-M 'R -3 m'
_symmetry_Int_Tables_number 166
_symmetry_space_group_name_Hall '-R 3 2"'
_cell_length_a 5.2212
_cell_length_b 5.2212
_cell_length_c 25.0740
_cell_angle_alpha 90.00
_cell_angle_beta 90.00
_cell_angle_gamma 120.00
loop_
_atom_site_label
_atom_site_fract_x
_atom_site_fract_y
_atom_site_fract_z
_atom_site_occupancy
Tm1 0.0000 0.0000 0.1172 1
Tm2 0.0000 0.0000 0.3712 1
Mg1 0.0000 0.0000 0.2451 1
Cd1 0.0000 0.0000 0.5000 1
```


[9]
Computed, not measured: crystalline TmMg5Cd2 at its relaxed geometry at the GGA-PBE level of DFT.

Summary:
Crystal system = orthorhombic
Calculated total energy = -1.905 eV/atom

The structure in CIF format:
```
data_TmMg5Cd2
_symmetry_space_group_name_H-M 'I m m m'
_symmetry_Int_Tables_number 71
_symmetry_space_group_name_Hall '-I 2 2'
_cell_length_a 3.347
_cell_length_b 9.548
_cell_length_c 11.570
_cell_angle_alpha 90.00
_cell_angle_beta 90.00
_cell_angle_gamma 90.00
loop_
_atom_site_label
_atom_site_fract_x
_atom_site_fract_y
_atom_site_fract_z
_atom_site_occupancy
Tm1 0.000 0.000 0.000 1
Mg1 0.000 0.227 0.367 1
Mg2 0.000 0.500 0.000 1
Cd1 0.000 0.500 0.257 1
```


[10]
Computed, not measured: crystalline TmMgCd11 at its relaxed geometry at the GGA-PBE level of DFT.

Summary:
Crystal system = monoclinic
Calculated total energy = -1.310 eV/atom

The structure in CIF format:
```
data_TmMgCd11
_symmetry_space_group_name_H-M 'C 1 2/m 1'
_symmetry_Int_Tables_number 12
_cell_length_a 5.988
_cell_length_b 13.991
_cell_length_c 7.600
_cell_angle_alpha 90.00
_cell_angle_beta 113.03
_cell_angle_gamma 90.00
loop_
_symmetry_equiv_pos_as_xyz
'x,y,z'
'-x,-y,-z'
'-x,y,-z'
'x,-y,z'
'x+1/2,y+1/2,z'
'-x+1/2,-y+1/2,-z'
'-x+1/2,y+1/2,-z'
'x+1/2,-y+1/2,z'
loop_
_atom_site_label
_atom_site_fract_x
_atom_site_fract_y
_atom_site_fract_z
_atom_site_occupancy
Tm1 0.000 0.000 0.000 1
Mg1 0.000 0.000 0.500 1
Cd1 0.000 0.500 0.500 1
Cd2 0.114 0.394 0.214 1
Cd3 0.171 0.173 0.349 1
Cd4 0.250 0.250 0.000 1
```


[11]
Computed, not measured: crystalline TmMgCd17 at its relaxed geometry at the GGA-PBE level of DFT.

Summary:
Crystal system = trigonal
Calculated total energy = -1.154 eV/atom

The structure in CIF format:
```
data_TmMgCd17
_symmetry_space_group_name_H-M 'R 3 m'
_symmetry_Int_Tables_number 160
_symmetry_space_group_name_Hall 'R 3 -2"'
_cell_length_a 9.9724
_cell_length_b 9.9724
_cell_length_c 15.4320
_cell_angle_alpha 90.00
_cell_angle_beta 90.00
_cell_angle_gamma 120.00
loop_
_atom_site_label
_atom_site_fract_x
_atom_site_fract_y
_atom_site_fract_z
_atom_site_occupancy
Tm1 0.0000 0.0000 0.0000 1
Mg1 0.0000 0.0000 0.3815 1
Cd1 0.0000 0.0000 0.5926 1
Cd2 0.0000 0.0000 0.7739 1
Cd3 0.0170 0.3469 0.3464 1
Cd4 0.0394 0.5197 0.1739 1
Cd5 0.0419 0.5209 0.5312 1
Cd6 0.1047 0.5524 0.8377 1
```


[12]
Computed, not measured: crystalline TmMg2Cd5 at its relaxed geometry at the GGA-PBE level of DFT.

Summary:
Crystal system = tetragonal
Calculated total energy = -1.579 eV/atom

The structure in CIF format:
```
data_TmMg2Cd5
_symmetry_space_group_name_H-M 'I 4/m c m'
_symmetry_Int_Tables_number 140
_symmetry_space_group_name_Hall '-I 4 2c'
_cell_length_a 7.867
_cell_length_b 7.867
_cell_length_c 12.236
_cell_angle_alpha 90.00
_cell_angle_beta 90.00
_cell_angle_gamma 90.00
loop_
_atom_site_label
_atom_site_fract_x
_atom_site_fract_y
_atom_site_fract_z
_atom_site_occupancy
Tm1 0.000 0.000 0.250 1
Mg1 0.151 0.349 0.000 1
Cd1 0.000 0.000 0.000 1
Cd2 0.145 0.355 0.339 1
```